Material: NbNiS2
Method: DFT, PBE
State: relaxed

Unit cell a=3.2919 b=4.5033 c=8.8651 alpha=90.00 beta=100.70 gamma=90.00
Positions (direct):
Nb: 0.6632 0.8277 0.3264
Nb: 0.3368 0.3277 0.6736
Ni: 0.9513 0.0753 0.9026
Ni: 0.0487 0.5753 0.0974
S: 0.2759 0.8275 0.5519
S: 0.7241 0.3275 0.4481
S: 0.0802 0.0801 0.1603
S: 0.9198 0.5801 0.8397

Computed properties:
For the uncorrected formation energy, the calculation gives -581 meV/atom. The calculation puts the density of states at the Fermi level at 2.3 states/eV/f.u.